VASP calculation (PBE-GGA) on Tb2BeNi after structural relaxation.

Results
**Space group**: No. 225
**M_tot**: 0.00 μB/atom
**Calculated formation energy**: -46 kJ/mol of formula units
**Distance to the lowest polymorph of the same formula**: 18.8 meV/atom
**Mass density**: 8.1 Mg/m³
**Raw total energy**: -4.8115 eV/atom

abc: 4.8220 4.8220 4.8220
angles: 60.00 60.00 60.00
Last column: nearest neighbours and their distance in Å.
Sites, in units of the cell vectors:
Ni  0.5000  0.5000  0.5000  8 Tb 2.95
Tb  0.2500  0.2500  0.2500  4 Ni 2.95, 4 Be 2.95
Tb  0.7500  0.7500  0.7500  4 Be 2.95, 4 Ni 2.95
Be  0.0000  0.0000  0.0000  8 Tb 2.95